Run P
Density functional theory data (GGA-PBE) for an optimized crystal structure of LaZn4Ru.

SG: C2/m (12)
D(E_F) in states/eV/cell: 6.3
Crystal system: monoclinic

Lattice parameters (Å, degrees): 5.4634 8.6231 5.2902 90.00 90.85 90.00
Atoms (fractional coordinates):
1 La 0.0000 0.0000 0.0000
2 La 0.5000 0.5000 0.0000
3 Zn 0.0043 0.5000 0.2625
4 Zn 0.2500 0.2500 0.5000
5 Zn 0.2500 0.7500 0.5000
6 Zn 0.4957 0.0000 0.7375
7 Zn 0.5043 0.0000 0.2625
8 Zn 0.7500 0.2500 0.5000
9 Zn 0.7500 0.7500 0.5000
10 Zn 0.9957 0.5000 0.7375
11 Ru 0.0000 0.0000 0.5000
12 Ru 0.5000 0.5000 0.5000

***

Run Q
Density functional theory data (GGA-PBE) for an optimized crystal structure of LaZn4Ru.

SG: Pmma (51)
D(E_F) in states/eV/cell: 5.4
Crystal system: orthorhombic

Lattice parameters (Å, degrees): 8.0440 4.1086 6.8134 90.00 90.00 90.00
Atoms (fractional coordinates):
1 La 0.2500 0.0000 0.0978
2 La 0.7500 0.0000 0.9022
3 Zn 0.0000 0.0000 0.5000
4 Zn 0.0481 0.5000 0.7870
5 Zn 0.2500 0.5000 0.4650
6 Zn 0.4519 0.5000 0.7870
7 Zn 0.5000 0.0000 0.5000
8 Zn 0.5481 0.5000 0.2130
9 Zn 0.7500 0.5000 0.5350
10 Zn 0.9519 0.5000 0.2130
11 Ru 0.2500 0.0000 0.7245
12 Ru 0.7500 0.0000 0.2755

***

Run R
Density functional theory data (GGA-PBE) for an optimized crystal structure of LaZn4Ru.

SG: F-43m (216)
D(E_F) in states/eV/cell: 3.9
Crystal system: cubic

Lattice parameters (Å, degrees): 5.2621 5.2621 5.2621 60.00 60.00 60.00
Atoms (fractional coordinates):
1 La 0.0000 0.0000 0.0000
2 Zn 0.3771 0.3771 0.3771
3 Zn 0.3771 0.3771 0.8687
4 Zn 0.3771 0.8687 0.3771
5 Zn 0.8687 0.3771 0.3771
6 Ru 0.7500 0.7500 0.7500

***

run Q ends up most stable, edging out the next structure by 0.069 eV/atom.

***

Run P
Density functional theory data (GGA-PBE) for an optimized crystal structure of La8ZnRu2.

SG: Cm (8)
D(E_F) in states/eV/cell: 13.9
Crystal system: monoclinic

Lattice parameters (Å, degrees): 8.2257 8.2257 5.8871 98.60 98.60 116.43
Atoms (fractional coordinates):
1 La 0.0000 0.0000 0.0000
2 La 0.0531 0.3040 0.6329
3 La 0.1494 0.6278 0.1905
4 La 0.3040 0.0531 0.6329
5 La 0.4779 0.7283 0.7478
6 La 0.6278 0.1494 0.1905
7 La 0.7283 0.4779 0.7478
8 La 0.7836 0.7836 0.3838
9 Zn 0.3920 0.3920 0.1860
10 Ru 0.1123 0.6769 0.6947
11 Ru 0.6769 0.1123 0.6947

***

Run Q
Density functional theory data (GGA-PBE) for an optimized crystal structure of La8ZnRu2.

SG: C2/m (12)
D(E_F) in states/eV/cell: 14.1
Crystal system: monoclinic

Lattice parameters (Å, degrees): 7.7810 7.7810 6.9573 106.68 106.68 68.37
Atoms (fractional coordinates):
1 La 0.1195 0.1195 0.2058
2 La 0.1794 0.5806 0.2187
3 La 0.3365 0.3365 0.7058
4 La 0.4194 0.8206 0.7813
5 La 0.5806 0.1794 0.2187
6 La 0.6635 0.6635 0.2942
7 La 0.8206 0.4194 0.7813
8 La 0.8805 0.8805 0.7942
9 Zn 0.0000 0.0000 0.5000
10 Ru 0.1717 0.1717 0.8493
11 Ru 0.8283 0.8283 0.1507

***

run Q ends up most stable, edging out the next structure by 0.023 eV/atom.

***

Run P
Density functional theory data (GGA-PBE) for an optimized crystal structure of La3ZrRu.

SG: Pm-3m (221)
D(E_F) in states/eV/cell: 9.7
Crystal system: cubic

Lattice parameters (Å, degrees): 5.4841 5.4841 5.4841 90.00 90.00 90.00
Atoms (fractional coordinates):
1 La 0.0000 0.0000 0.5000
2 La 0.0000 0.5000 0.0000
3 La 0.5000 0.0000 0.0000
4 Zr 0.0000 0.0000 0.0000
5 Ru 0.5000 0.5000 0.5000

***

Run Q
Density functional theory data (GGA-PBE) for an optimized crystal structure of La3ZrRu.

SG: Pm-3m (221)
D(E_F) in states/eV/cell: 5.9
Crystal system: cubic

Lattice parameters (Å, degrees): 5.5012 5.5012 5.5012 90.00 90.00 90.00
Atoms (fractional coordinates):
1 La 0.0000 0.0000 0.5000
2 La 0.0000 0.5000 0.0000
3 La 0.5000 0.0000 0.0000
4 Zr 0.5000 0.5000 0.5000
5 Ru 0.0000 0.0000 0.0000

***

run Q ends up most stable, edging out the next structure by 0.929 eV/atom.